DFT (PBE) results for a relaxed NdSmCl6 crystal.

abc: 7.052 7.052 7.418
angles: 92.23 92.23 119.88
Element x y z (fractional)
Nd  0.000  0.000  0.000
Sm  0.000  0.000  0.500
Cl  0.000  0.289  0.264
Cl  0.000  0.711  0.736
Cl  0.289  0.000  0.264
Cl  0.289  0.289  0.767
Cl  0.711  0.000  0.736
Cl  0.711  0.711  0.233

Calculated values
Symmetry: C2/m
Polymorph energy (0 for the lowest one): 48 meV/atom
D(E_F): 0.0 states/eV/cell

---

DFT (PBE) results for a relaxed Nd3SmCl crystal.

abc: 5.488 5.488 5.488
angles: 90.00 90.00 90.00
Element x y z (fractional)
Nd  0.000  0.000  0.500
Nd  0.000  0.500  0.000
Nd  0.500  0.000  0.000
Sm  0.500  0.500  0.500
Cl  0.000  0.000  0.000

Calculated values
Symmetry: Pm-3m
VASP energy: -4.675 eV per atom
D(E_F): 4.8 states/eV/cell

---

Repeat the second record exactly.
DFT (PBE) results for a relaxed Nd3SmCl crystal.

abc: 5.488 5.488 5.488
angles: 90.00 90.00 90.00
Element x y z (fractional)
Nd  0.000  0.000  0.500
Nd  0.000  0.500  0.000
Nd  0.500  0.000  0.000
Sm  0.500  0.500  0.500
Cl  0.000  0.000  0.000

Calculated values
Symmetry: Pm-3m
VASP energy: -4.675 eV per atom
D(E_F): 4.8 states/eV/cell

---

Which formula does entry 2 have?
Nd3SmCl

---

Look up the D(E_F) of the first one.
0.0 states/eV/cell

---

Which value of D(E_F) does entry 1 give?
0.0 states/eV/cell